! Pr14MgSc (PBE, relaxed); values from VASP
&SYSTEM
  ibrav = 0, nat = 16, ntyp = 3
/
ATOMIC_SPECIES
Pr 140.91 Pr.upf
Mg 24.30 Mg.upf
Sc 44.96 Sc.upf
ATOMIC_POSITIONS angstrom
Pr 0.0000 0.0000 0.0000
Pr 0.0000 -2.5693 2.5768
Pr 0.0000 2.5693 2.5768
Pr 0.0000 0.0000 5.1507
Pr 2.6457 0.0000 7.7174
Pr 2.6575 -2.5624 5.1549
Pr 2.6575 2.5624 5.1549
Pr 2.6704 0.0000 2.5915
Pr 5.1935 -2.5636 7.7365
Pr 5.1935 2.5636 7.7365
Pr 7.7165 0.0000 2.5915
Pr 7.7295 -2.5624 5.1549
Pr 7.7295 2.5624 5.1549
Pr 7.7412 0.0000 7.7174
Mg 5.1935 0.0000 10.3079
Sc 5.1935 0.0000 5.1582
CELL_PARAMETERS angstrom
10.3869 0.0000 0.0000
0.0000 5.1556 5.1560
0.0000 -5.1556 5.1560
! Space group: Amm2 (38)
! M_tot, μB/f.u.: 0.00
! Calculated volume, Å³ per cell: 552.22
! Energy of formation from the pure elements, eV/atom: 0.0120